This record from Alexandria via LeMat-Bulk describes an optimized crystal structure of Ba4Ni6F19. The functional is PBE with a Hubbard U.

## Properties
magnetic moment	11.0	μB/cell
density of states at the Fermi level	0.257	states/eV/atom
calculated total energy	-4.816	eV per atom

Unit cell a=8.2374 b=8.2374 c=8.2374 alpha=109.47 beta=109.47 gamma=109.47
Closest atoms and distances in Å follow each position.
Sites, in units of the cell vectors:
F  0.6528  0.0000  0.6528  2 Ni 2.08
F  0.6224  0.2968  0.2509  2 Ni 2.05
F  0.0000  0.3472  0.3472  2 Ni 2.08
F  0.3472  0.3472  0.0000  2 Ni 2.08
F  0.0000  0.0000  0.0000  4 Ba 2.77
F  0.2968  0.2509  0.6224  2 Ni 2.05
F  0.3716  0.7491  0.0460  2 Ni 2.05
F  0.6528  0.6528  0.0000  2 Ni 2.08
F  0.3472  0.0000  0.3472  2 Ni 2.08
F  0.3256  0.9540  0.7032  2 Ni 2.05
F  0.6284  0.6744  0.3776  2 Ni 2.05
F  0.9540  0.7032  0.3256  2 Ni 2.05
F  0.3776  0.6284  0.6744  2 Ni 2.05
F  0.0000  0.6528  0.6528  2 Ni 2.08
F  0.7491  0.0460  0.3716  2 Ni 2.05
F  0.7032  0.3256  0.9540  2 Ni 2.05
F  0.6744  0.3776  0.6284  2 Ni 2.05
F  0.2509  0.6224  0.2968  2 Ni 2.05
F  0.0460  0.3716  0.7491  2 Ni 2.05
Ba  0.0000  0.6640  0.0000  10 F 2.76-2.83
Ba  0.0000  0.0000  0.6640  10 F 2.76-2.83
Ba  0.6640  0.0000  0.0000  10 F 2.76-2.83
Ba  0.3360  0.3360  0.3360  10 F 2.76-2.83
Ni  0.5000  0.8438  0.3438  6 F 2.05-2.08
Ni  0.6562  0.5000  0.1562  6 F 2.05-2.08
Ni  0.1562  0.6562  0.5000  6 F 2.05-2.08
Ni  0.3438  0.5000  0.8438  6 F 2.05-2.08
Ni  0.5000  0.1562  0.6562  6 F 2.05-2.08
Ni  0.8438  0.3438  0.5000  6 F 2.05-2.08